A plane-wave DFT calculation with PBE was carried out for BaThAg2 after structural relaxation.

a b c (Å): 3.8593 3.8593 8.0999
angles (deg): 90.00 90.00 90.00
Fractional positions:
Ba: 0.0000 0.0000 0.0000
Th: 0.0000 0.0000 0.5000
Ag: 0.5000 0.5000 0.2932
Ag: 0.5000 0.5000 0.7068

## Properties
Formation enthalpy at 0 K in meV per atom: -83
Space group: P4/mmm
Energy relative to the lowest polymorph listed for this composition in eV/f.u.: 0.000

A plane-wave DFT calculation with PBE was carried out for MgSc4Co after structural relaxation.

a b c (Å): 8.9646 8.9646 8.9646
angles (deg): 60.00 60.00 60.00
Fractional positions:
Mg: 0.4187 0.4187 0.4187
Mg: 0.4187 0.4187 0.7439
Mg: 0.4187 0.7439 0.4187
Mg: 0.7439 0.4187 0.4187
Sc: 0.0323 0.6559 0.6559
Sc: 0.0624 0.0624 0.4376
Sc: 0.0624 0.4376 0.0624
Sc: 0.0624 0.4376 0.4376
Sc: 0.1860 0.1860 0.8140
Sc: 0.1860 0.8140 0.1860
Sc: 0.1860 0.8140 0.8140
Sc: 0.4376 0.0624 0.0624
Sc: 0.4376 0.0624 0.4376
Sc: 0.4376 0.4376 0.0624
Sc: 0.6559 0.0323 0.6559
Sc: 0.6559 0.6559 0.0323
Sc: 0.6559 0.6559 0.6559
Sc: 0.8140 0.1860 0.1860
Sc: 0.8140 0.1860 0.8140
Sc: 0.8140 0.8140 0.1860
Co: 0.4212 0.8596 0.8596
Co: 0.8596 0.4212 0.8596
Co: 0.8596 0.8596 0.4212
Co: 0.8596 0.8596 0.8596

## Properties
Formation enthalpy at 0 K in meV per atom: -151
Space group: F-43m
Energy relative to the lowest polymorph listed for this composition in eV/f.u.: 0.000

A plane-wave DFT calculation with PBE was carried out for LaVAgCl2 after structural relaxation.

a b c (Å): 4.5690 4.5690 5.4497
angles (deg): 90.00 90.00 90.00
Fractional positions:
La: 0.0000 0.0000 0.0000
V: 0.5000 0.5000 0.5000
Ag: 0.5000 0.5000 0.0000
Cl: 0.0000 0.5000 0.5000
Cl: 0.5000 0.0000 0.5000

## Properties
Uncorrected formation energy in eV per atom: -0.415
Space group: P4/mmm

| no. | VASP energy (eV/atom) |
| --- | --- |
| 1 | -3.84 |
| 2 | -5.82 |
| 3 | -4.53 |